# 1
This record from Alexandria describes a geometry-optimized LaUCSe2 structure. The functional is PBE.

abc: 3.987 3.987 15.223
angles: 90.00 90.00 90.00
Fractional positions:
La (0.500, 0.000, 0.134)
La (0.000, 0.500, 0.866)
U (0.500, 0.000, 0.575)
U (0.000, 0.500, 0.425)
C (0.000, 0.000, 0.500)
C (0.500, 0.500, 0.500)
Se (0.000, 0.500, 0.675)
Se (0.000, 0.500, 0.084)
Se (0.500, 0.000, 0.916)
Se (0.500, 0.000, 0.325)

## Properties
M_tot ... 1.43 μB per cell
Energy ... -75.9 eV/cell

# 2
This record from Alexandria describes a geometry-optimized LaY2CSe structure. The functional is PBE.

abc: 4.827 5.254 4.827
angles: 90.00 90.00 90.00
Fractional positions:
Y (0.000, 0.000, 0.500)
Y (0.500, 0.000, 0.000)
C (0.000, 0.000, 0.000)
Se (0.500, 0.500, 0.500)
La (0.000, 0.500, 0.000)

## Properties
M_tot ... 0.00 μB per cell
Energy ... -33.1 eV/cell

# 3
This record from Alexandria describes a geometry-optimized LaSiC3 structure. The functional is PBE.

abc: 4.501 4.501 4.501
angles: 90.00 90.00 90.00
Fractional positions:
Si (0.500, 0.500, 0.500)
C (0.000, 0.500, 0.000)
C (0.000, 0.000, 0.500)
C (0.500, 0.000, 0.000)
La (0.000, 0.000, 0.000)

## Properties
M_tot ... 0.03 μB per cell
ΔE to the lowest computed polymorph ... 2.160 eV per atom

# 4
This record from Alexandria describes a geometry-optimized La12Si3C5 structure. The functional is PBE.

abc: 14.221 14.221 14.221
angles: 109.47 109.47 109.47
Fractional positions:
Si (0.750, 0.375, 0.125)
Si (0.875, 0.750, 0.125)
Si (0.375, 0.750, 0.625)
Si (0.250, 0.125, 0.375)
Si (0.875, 0.125, 0.250)
Si (0.375, 0.625, 0.250)
Si (0.625, 0.375, 0.750)
Si (0.125, 0.875, 0.750)
Si (0.750, 0.875, 0.625)
Si (0.625, 0.250, 0.375)
Si (0.125, 0.250, 0.875)
Si (0.250, 0.625, 0.875)
C (0.125, 0.375, 0.250)
C (0.000, 0.500, 0.000)
C (0.000, 0.000, 0.000)
C (0.375, 0.250, 0.125)
C (0.500, 0.000, 0.500)
C (0.500, 0.500, 0.000)
C (0.125, 0.750, 0.375)
C (0.750, 0.125, 0.875)
C (0.750, 0.625, 0.375)
C (0.375, 0.125, 0.750)
C (0.625, 0.875, 0.250)
C (0.500, 0.500, 0.500)
C (0.500, 0.000, 0.000)
C (0.000, 0.000, 0.500)
C (0.250, 0.375, 0.625)
C (0.250, 0.875, 0.125)
C (0.000, 0.500, 0.500)
C (0.875, 0.250, 0.625)
C (0.625, 0.750, 0.875)
C (0.875, 0.625, 0.750)
La (0.707, 0.121, 0.027)
La (0.320, 0.527, 0.406)
La (0.973, 0.379, 0.293)
La (0.527, 0.207, 0.121)
La (0.586, 0.707, 0.680)
La (0.973, 0.594, 0.180)
La (0.320, 0.793, 0.414)
La (0.094, 0.914, 0.121)
La (0.594, 0.973, 0.680)
La (0.707, 0.586, 0.180)
La (0.793, 0.473, 0.379)
La (0.820, 0.906, 0.027)
La (0.121, 0.707, 0.527)
La (0.379, 0.406, 0.086)
La (0.086, 0.906, 0.379)
La (0.414, 0.121, 0.594)
La (0.086, 0.180, 0.207)
La (0.473, 0.680, 0.094)
La (0.820, 0.914, 0.293)
La (0.121, 0.414, 0.094)
La (0.379, 0.973, 0.793)
La (0.594, 0.621, 0.414)
La (0.906, 0.820, 0.527)
La (0.793, 0.320, 0.914)
La (0.406, 0.379, 0.586)
La (0.094, 0.180, 0.473)
La (0.207, 0.680, 0.086)
La (0.180, 0.086, 0.707)
La (0.621, 0.027, 0.207)
La (0.879, 0.586, 0.906)
La (0.527, 0.320, 0.906)
La (0.586, 0.879, 0.406)
La (0.914, 0.820, 0.793)
La (0.914, 0.094, 0.621)
La (0.879, 0.293, 0.473)
La (0.180, 0.094, 0.973)
La (0.621, 0.594, 0.914)
La (0.406, 0.027, 0.320)
La (0.293, 0.414, 0.820)
La (0.207, 0.527, 0.621)
La (0.906, 0.086, 0.879)
La (0.680, 0.207, 0.586)
La (0.473, 0.793, 0.879)
La (0.027, 0.406, 0.820)
La (0.414, 0.293, 0.320)
La (0.027, 0.621, 0.707)
La (0.680, 0.473, 0.594)
La (0.293, 0.879, 0.973)

## Properties
M_tot ... 0.00 μB per cell
Energy ... -501.2 eV/cell

# 5
This record from Alexandria describes a geometry-optimized LaSi2C structure. The functional is PBE.

abc: 6.653 6.653 5.717
angles: 54.42 54.42 90.00
Fractional positions:
Si (0.500, 0.125, 0.250)
Si (0.250, 0.625, 0.250)
Si (0.375, 0.500, 0.750)
Si (0.875, 0.750, 0.750)
C (0.500, 0.500, 0.000)
C (0.250, 0.750, 0.500)
La (0.000, 0.000, 0.000)
La (0.750, 0.250, 0.500)

## Properties
M_tot ... 0.00 μB per cell
Energy ... -48.4 eV/cell

# 6
This record from Alexandria describes a geometry-optimized La4Si2C structure. The functional is PBE.

abc: 4.994 4.994 8.745
angles: 106.59 106.59 90.00
Fractional positions:
Si (0.635, 0.635, 0.270)
Si (0.365, 0.365, 0.730)
C (0.000, 0.000, 0.000)
La (0.827, 0.827, 0.653)
La (0.173, 0.173, 0.347)
La (0.000, 0.500, 0.000)
La (0.500, 0.000, 0.000)

## Properties
M_tot ... 0.00 μB per cell
Energy ... -42.2 eV/cell

The calculation returns the following density of states at the Fermi level values, one per record and in order: 9.776, 5.034, 5.295, 54.397, 3.737, 3.157 states/eV per cell.